No. 1
Entry from Alexandria: YMg3Cu after structural relaxation (PBE).

Cell: 4.8888 4.8888 4.8888 Å, 90.00 90.00 90.00°
Positions (direct):
1 Y 0.0000 0.0000 0.0000
2 Mg 0.0000 0.5000 0.5000
3 Mg 0.5000 0.0000 0.5000
4 Mg 0.5000 0.5000 0.0000
5 Cu 0.5000 0.5000 0.5000

Properties
Spin magnetization ... 0.00 μB/f.u.
Crystal system ... cubic
DFT formation energy ... 4 kJ/mol of atoms

=====

No. 2
Entry from Alexandria: Y2MgCu3 after structural relaxation (PBE).

Cell: 5.5926 5.5926 8.4702 Å, 90.00 90.00 120.00°
Positions (direct):
1 Y 0.3333 0.6667 0.0558
2 Y 0.3333 0.6667 0.4442
3 Y 0.6667 0.3333 0.5558
4 Y 0.6667 0.3333 0.9442
5 Mg 0.0000 0.0000 0.0000
6 Mg 0.0000 0.0000 0.5000
7 Cu 0.1753 0.3506 0.7500
8 Cu 0.1753 0.8247 0.7500
9 Cu 0.3506 0.1753 0.2500
10 Cu 0.6494 0.8247 0.7500
11 Cu 0.8247 0.1753 0.2500
12 Cu 0.8247 0.6494 0.2500

Properties
Spin magnetization ... 0.00 μB/f.u.
Crystal system ... hexagonal
DFT formation energy ... -13 kJ/mol of atoms

=====

No. 3
Entry from Alexandria: Y4MgCu2 after structural relaxation (PBE).

Cell: 7.8678 7.8678 7.8678 Å, 138.85 138.85 59.60°
Positions (direct):
1 Y 0.0000 0.5000 0.5000
2 Y 0.2162 0.2162 0.0000
3 Y 0.5000 0.0000 0.5000
4 Y 0.7838 0.7838 0.0000
5 Mg 0.0000 0.0000 0.0000
6 Cu 0.4121 0.4121 0.0000
7 Cu 0.5879 0.5879 0.0000

Properties
Spin magnetization ... 0.59 μB/f.u.
Crystal system ... tetragonal
DFT formation energy ... 46 kJ/mol of atoms

=====

No. 4
Entry from Alexandria: Y2MgCu after structural relaxation (PBE).

Cell: 9.3408 9.3408 9.3408 Å, 150.91 150.91 41.60°
Positions (direct):
1 Y 0.0000 0.5000 0.5000
2 Y 0.1342 0.1342 0.0000
3 Y 0.5000 0.0000 0.5000
4 Y 0.8658 0.8658 0.0000
5 Mg 0.2500 0.7500 0.5000
6 Mg 0.7500 0.2500 0.5000
7 Cu 0.3708 0.3708 0.0000
8 Cu 0.6292 0.6292 0.0000

Properties
Spin magnetization ... 0.00 μB/f.u.
Crystal system ... tetragonal
DFT formation energy ... 9 kJ/mol of atoms

=====

No. 5
Entry from Alexandria: Y8MgCu4 after structural relaxation (PBE).

Cell: 7.8758 7.8758 7.8758 Å, 99.03 99.03 133.33°
Positions (direct):
1 Y 0.0000 0.2148 0.2148
2 Y 0.0000 0.7852 0.7852
3 Y 0.1791 0.5000 0.6791
4 Y 0.2148 0.0000 0.2148
5 Y 0.5000 0.1791 0.6791
6 Y 0.5000 0.8209 0.3209
7 Y 0.7852 0.0000 0.7852
8 Y 0.8209 0.5000 0.3209
9 Mg 0.5000 0.5000 0.0000
10 Cu 0.0000 0.0000 0.5000
11 Cu 0.0000 0.5000 0.0000
12 Cu 0.5000 0.0000 0.0000
13 Cu 0.5000 0.5000 0.5000

Properties
Spin magnetization ... 0.00 μB/f.u.
Crystal system ... tetragonal
DFT formation energy ... 3 kJ/mol of atoms

=====

No. 6
Entry from Alexandria: Y2MgCu2 after structural relaxation (PBE).

Cell: 7.1552 7.1552 7.1552 Å, 115.38 82.99 133.90°
Positions (direct):
1 Y 0.1721 0.1482 0.3202
2 Y 0.3279 0.6482 0.9761
3 Y 0.6721 0.3518 0.0239
4 Y 0.8279 0.8518 0.6798
5 Mg 0.2500 0.7500 0.5000
6 Mg 0.7500 0.2500 0.5000
7 Cu 0.0867 0.7885 0.8752
8 Cu 0.4133 0.2885 0.7018
9 Cu 0.5867 0.7115 0.2982
10 Cu 0.9133 0.2115 0.1248

Properties
Spin magnetization ... 0.00 μB/f.u.
Crystal system ... orthorhombic
DFT formation energy ... -8 kJ/mol of atoms